1.
{"formula": "YTlIn2Co", "functional": "PBE", "state": "relaxed", "space_group": "P4/mmm, No. 123", "n_ef_per_ev_fu": 3.37, "crystal_system": "tetragonal", "formation_enthalpy_0k_ev_per_atom": -0.145, "cell": [[-4.100, -0.051, -2.856], [-1.332, -4.385, 1.991], [-2.545, 2.412, 3.610]], "species": ["Tl", "In", "In", "Co", "Y"], "frac_coords": [[0.500, 0.500, 0.500], [0.500, 0.000, 0.000], [0.000, 0.500, 0.000], [0.000, 0.000, 0.000], [0.000, 0.000, 0.500]]}

***

2.
{"formula": "Pa5V3As12", "functional": "PBE", "state": "relaxed", "space_group": "Ia-3d, No. 230", "n_ef_per_ev_fu": 15.09, "crystal_system": "cubic", "formation_enthalpy_0k_ev_per_atom": -0.079, "cell": [[-9.670, -2.323, 9.546], [-5.021, -3.062, -12.467], [11.002, -7.892, 2.588]], "species": ["As", "As", "As", "As", "As", "As", "As", "As", "As", "As", "As", "As", "As", "As", "As", "As", "As", "As", "As", "As", "As", "As", "As", "As", "As", "As", "As", "As", "As", "As", "As", "As", "As", "As", "As", "As", "As", "As", "As", "As", "As", "As", "As", "As", "As", "As", "As", "As", "Pa", "Pa", "Pa", "Pa", "Pa", "Pa", "Pa", "Pa", "Pa", "Pa", "Pa", "Pa", "Pa", "Pa", "Pa", "Pa", "Pa", "Pa", "Pa", "Pa", "V", "V", "V", "V", "V", "V", "V", "V", "V", "V", "V", "V"], "frac_coords": [[0.940, 0.116, 0.867], [0.060, 0.884, 0.133], [0.927, 0.367, 0.252], [0.940, 0.825, 0.573], [0.748, 0.616, 0.175], [0.440, 0.367, 0.616], [0.633, 0.073, 0.248], [0.748, 0.133, 0.073], [0.927, 0.560, 0.175], [0.573, 0.325, 0.940], [0.675, 0.248, 0.616], [0.867, 0.616, 0.940], [0.633, 0.560, 0.884], [0.116, 0.175, 0.248], [0.867, 0.252, 0.427], [0.616, 0.748, 0.675], [0.427, 0.752, 0.867], [0.133, 0.384, 0.060], [0.325, 0.752, 0.384], [0.175, 0.116, 0.748], [0.367, 0.927, 0.752], [0.248, 0.675, 0.116], [0.825, 0.884, 0.252], [0.616, 0.867, 0.440], [0.133, 0.748, 0.573], [0.573, 0.248, 0.133], [0.884, 0.825, 0.752], [0.560, 0.927, 0.675], [0.252, 0.867, 0.927], [0.384, 0.133, 0.560], [0.427, 0.675, 0.060], [0.116, 0.940, 0.367], [0.073, 0.633, 0.748], [0.060, 0.175, 0.427], [0.825, 0.940, 0.073], [0.384, 0.252, 0.325], [0.884, 0.060, 0.633], [0.248, 0.573, 0.633], [0.675, 0.427, 0.560], [0.175, 0.060, 0.927], [0.252, 0.384, 0.825], [0.752, 0.427, 0.367], [0.073, 0.440, 0.825], [0.367, 0.440, 0.116], [0.440, 0.073, 0.325], [0.325, 0.573, 0.440], [0.560, 0.633, 0.384], [0.752, 0.325, 0.884], [0.625, 0.750, 0.875], [0.500, 0.500, 0.500], [0.000, 0.000, 0.000], [0.250, 0.375, 0.625], [0.750, 0.625, 0.375], [0.750, 0.125, 0.875], [0.125, 0.375, 0.250], [0.125, 0.750, 0.375], [0.250, 0.875, 0.125], [0.000, 0.000, 0.500], [0.500, 0.000, 0.500], [0.375, 0.125, 0.750], [0.000, 0.500, 0.500], [0.500, 0.500, 0.000], [0.000, 0.500, 0.000], [0.875, 0.625, 0.750], [0.375, 0.250, 0.125], [0.500, 0.000, 0.000], [0.625, 0.875, 0.250], [0.875, 0.250, 0.625], [0.750, 0.375, 0.125], [0.125, 0.250, 0.875], [0.625, 0.250, 0.375], [0.875, 0.750, 0.125], [0.125, 0.875, 0.750], [0.375, 0.750, 0.625], [0.250, 0.625, 0.875], [0.250, 0.125, 0.375], [0.375, 0.625, 0.250], [0.875, 0.125, 0.250], [0.750, 0.875, 0.625], [0.625, 0.375, 0.750]]}

***

3.
{"formula": "CaHoCd4", "functional": "PBE", "state": "relaxed", "de_polymorph_kj_per_mol_fu": 45, "space_group": "C2/m, No. 12", "n_ef_per_ev_fu": 2.38, "crystal_system": "monoclinic", "formation_enthalpy_0k_ev_per_atom": -0.247, "cell": [[3.376, 0.000, 0.976], [2.046, 6.093, -0.749], [-0.416, -2.608, 7.761]], "species": ["Cd", "Cd", "Cd", "Cd", "Ca", "Ho"], "frac_coords": [[0.326, 0.002, 0.347], [0.849, 0.471, 0.830], [0.674, 0.998, 0.653], [0.151, 0.529, 0.170], [0.000, 0.000, 0.000], [0.500, 0.500, 0.500]]}

***

4.
{"formula": "NaTlGe", "functional": "PBE", "state": "relaxed", "space_group": "P6_3mc, No. 186", "n_ef_per_ev_fu": 0.39, "crystal_system": "hexagonal", "formation_enthalpy_0k_ev_per_atom": 0.030, "cell": [[4.125, -2.382, 0.000], [0.000, 4.763, 0.000], [0.000, 0.000, 7.748]], "species": ["Ge", "Ge", "Tl", "Tl", "Na", "Na"], "frac_coords": [[0.667, 0.333, 0.940], [0.333, 0.667, 0.440], [0.333, 0.667, 0.051], [0.667, 0.333, 0.551], [0.000, 0.000, 0.759], [0.000, 0.000, 0.259]]}

***

5.
{"formula": "LiMg4CuAg2", "functional": "PBE", "state": "relaxed", "space_group": "R-3m, No. 166", "n_ef_per_ev_fu": 2.14, "crystal_system": "trigonal", "formation_enthalpy_0k_ev_per_atom": -0.179, "cell": [[4.661, 0.000, 0.000], [2.330, 4.036, 0.000], [2.330, 1.345, 7.628]], "species": ["Mg", "Mg", "Mg", "Mg", "Cu", "Ag", "Ag", "Li"], "frac_coords": [[0.871, 0.871, 0.388], [0.379, 0.379, 0.863], [0.129, 0.129, 0.612], [0.621, 0.621, 0.137], [0.500, 0.500, 0.500], [0.253, 0.253, 0.241], [0.747, 0.747, 0.759], [0.000, 0.000, 0.000]]}

***

6.
{"formula": "Ac8Pr2Nd3", "functional": "PBE", "state": "relaxed", "de_polymorph_kj_per_mol_fu": 0, "space_group": "P2/m, No. 10", "n_ef_per_ev_fu": 19.21, "crystal_system": "monoclinic", "formation_enthalpy_0k_ev_per_atom": 0.201, "cell": [[-1.570, 4.177, -4.317], [-6.762, -4.558, -1.952], [-2.350, 7.655, 8.259]], "species": ["Ac", "Ac", "Ac", "Ac", "Ac", "Ac", "Ac", "Ac", "Pr", "Pr", "Nd", "Nd", "Nd"], "frac_coords": [[0.000, 0.673, 0.346], [0.500, 0.394, 0.209], [0.500, 0.186, 0.791], [0.000, 0.868, 0.735], [0.500, 0.814, 0.209], [0.500, 0.606, 0.791], [0.000, 0.327, 0.654], [0.000, 0.132, 0.265], [0.500, 0.758, 0.517], [0.500, 0.242, 0.483], [0.000, 0.709, 0.000], [0.000, 0.291, 0.000], [0.500, 0.000, 0.000]]}

***

7.
{"formula": "TbEr2S2", "functional": "PBE", "state": "relaxed", "space_group": "R-3m, No. 166", "n_ef_per_ev_fu": 3.66, "e_form_raw_mev_per_atom": -1569, "crystal_system": "trigonal", "cell": [[3.737, 0.000, 0.691], [1.805, 3.273, 0.691], [0.133, 0.078, 9.731]], "species": ["S", "S", "Er", "Er", "Tb"], "frac_coords": [[0.608, 0.608, 0.176], [0.392, 0.392, 0.824], [0.216, 0.216, 0.352], [0.784, 0.784, 0.648], [0.000, 0.000, 0.000]]}

***

8.
{"formula": "Mg3Al2Pt3", "functional": "PBE", "state": "relaxed", "space_group": "P6_3/mcm, No. 193", "n_ef_per_ev_fu": 2.46, "crystal_system": "hexagonal", "formation_enthalpy_0k_ev_per_atom": -0.830, "cell": [[5.296, 0.000, 0.000], [0.000, 6.635, -3.830], [0.000, 0.000, 7.661]], "species": ["Mg", "Mg", "Mg", "Mg", "Mg", "Mg", "Pt", "Pt", "Pt", "Pt", "Pt", "Pt", "Al", "Al", "Al", "Al"], "frac_coords": [[0.750, 0.246, 0.000], [0.250, 0.754, 0.000], [0.250, 0.246, 0.246], [0.750, 0.000, 0.246], [0.250, 0.000, 0.754], [0.750, 0.754, 0.754], [0.750, 0.597, 0.000], [0.750, 0.403, 0.403], [0.250, 0.403, 0.000], [0.250, 0.000, 0.403], [0.250, 0.597, 0.597], [0.750, 0.000, 0.597], [0.000, 0.667, 0.333], [0.500, 0.333, 0.667], [0.500, 0.667, 0.333], [0.000, 0.333, 0.667]]}

***

9.
{"formula": "Ta2Tl2CrTe6", "functional": "PBE", "state": "relaxed", "space_group": "C2/m, No. 12", "n_ef_per_ev_fu": 2.36, "e_form_raw_mev_per_atom": -226, "crystal_system": "monoclinic", "cell": [[-2.533, -4.205, -4.564], [5.504, -1.658, 3.447], [-5.770, -2.134, 6.467]], "species": ["Te", "Te", "Te", "Te", "Te", "Te", "Ta", "Ta", "Tl", "Tl", "Cr"], "frac_coords": [[0.378, 0.030, 0.673], [0.622, 0.970, 0.327], [0.756, 0.756, 0.724], [0.244, 0.244, 0.276], [0.970, 0.622, 0.327], [0.030, 0.378, 0.673], [0.626, 0.374, 0.500], [0.374, 0.626, 0.500], [0.201, 0.799, 0.000], [0.799, 0.201, 0.000], [0.000, 0.000, 0.500]]}

***

10.
{"formula": "V2Ni3Ir2", "functional": "PBE", "state": "relaxed", "space_group": "I2_13, No. 199", "n_ef_per_ev_fu": 7.98, "crystal_system": "cubic", "formation_enthalpy_0k_ev_per_atom": 0.144, "cell": [[-2.925, -0.259, 5.477], [-0.095, -5.613, -2.667], [5.890, 1.776, 0.880]], "species": ["Ir", "Ir", "Ir", "Ir", "Ni", "Ni", "Ni", "Ni", "Ni", "Ni", "V", "V", "V", "V"], "frac_coords": [[0.500, 0.817, 0.500], [0.000, 0.000, 0.817], [0.317, 0.500, 0.000], [0.183, 0.683, 0.683], [0.089, 0.339, 0.250], [0.750, 0.589, 0.339], [0.250, 0.911, 0.161], [0.661, 0.750, 0.911], [0.839, 0.250, 0.589], [0.411, 0.161, 0.750], [0.622, 0.122, 0.122], [0.500, 0.378, 0.500], [0.878, 0.500, 0.000], [0.000, 0.000, 0.378]]}

***

11.
{"formula": "HoTm2Ir4", "functional": "PBE", "state": "relaxed", "space_group": "I4/mmm, No. 139", "n_ef_per_ev_fu": 6.83, "crystal_system": "tetragonal", "formation_enthalpy_0k_ev_per_atom": -0.303, "cell": [[5.381, 0.014, -1.885], [-2.678, 4.648, -1.931], [0.008, -0.014, 5.701]], "species": ["Ho", "Ir", "Ir", "Ir", "Ir", "Tm", "Tm"], "frac_coords": [[0.000, 0.000, 0.000], [0.500, 0.500, 0.500], [0.000, 0.500, 0.000], [0.000, 0.000, 0.500], [0.500, 0.000, 0.000], [0.500, 0.000, 0.500], [0.500, 0.500, 0.000]]}

***

12.
{"formula": "La2Tb2Y15", "functional": "PBE", "state": "relaxed", "space_group": "R-3m, No. 166", "n_ef_per_ev_fu": 43.93, "crystal_system": "trigonal", "formation_enthalpy_0k_ev_per_atom": 0.279, "cell": [[6.737, -5.701, -0.242], [6.737, 5.701, -0.242], [2.229, 0.000, 8.543]], "species": ["La", "La", "Y", "Y", "Y", "Y", "Y", "Y", "Y", "Y", "Y", "Y", "Y", "Y", "Y", "Y", "Y", "Tb", "Tb"], "frac_coords": [[0.329, 0.329, 0.329], [0.671, 0.671, 0.671], [0.500, 0.000, 0.000], [0.365, 0.365, 0.851], [0.851, 0.365, 0.365], [0.000, 0.000, 0.500], [0.365, 0.851, 0.365], [0.000, 0.500, 0.000], [0.702, 0.298, 0.000], [0.000, 0.702, 0.298], [0.635, 0.635, 0.149], [0.702, 0.000, 0.298], [0.000, 0.298, 0.702], [0.298, 0.000, 0.702], [0.298, 0.702, 0.000], [0.149, 0.635, 0.635], [0.635, 0.149, 0.635], [0.096, 0.096, 0.096], [0.904, 0.904, 0.904]]}

***

13.
{"formula": "NbCrW", "functional": "PBE", "state": "relaxed", "de_polymorph_kj_per_mol_fu": 17, "space_group": "P1, No. 1", "n_ef_per_ev_fu": 1.83, "crystal_system": "triclinic", "formation_enthalpy_0k_ev_per_atom": 0.080, "cell": [[-0.971, 1.236, -2.273], [2.106, -3.011, -3.643], [-5.003, -4.377, -1.366]], "species": ["Cr", "Cr", "Nb", "Nb", "W", "W"], "frac_coords": [[0.625, 0.043, 0.027], [0.794, 0.211, 0.350], [0.957, 0.376, 0.682], [0.123, 0.538, 0.028], [0.468, 0.885, 0.684], [0.298, 0.729, 0.346]]}

***

14.
{"formula": "Ho6ErIn3", "functional": "PBE", "state": "relaxed", "de_polymorph_kj_per_mol_fu": 134, "space_group": "Cmc2_1, No. 36", "n_ef_per_ev_fu": 12.48, "crystal_system": "orthorhombic", "formation_enthalpy_0k_ev_per_atom": -0.124, "cell": [[-3.809, -5.748, 3.202], [1.904, -5.341, -7.323], [6.561, -0.729, 6.496]], "species": ["Ho", "Ho", "Ho", "Ho", "Ho", "Ho", "Ho", "Ho", "Ho", "Ho", "Ho", "Ho", "In", "In", "In", "In", "In", "In", "Er", "Er"], "frac_coords": [[0.293, 0.077, 0.451], [0.792, 0.045, 0.955], [0.137, 0.698, 0.302], [0.104, 0.768, 0.702], [0.793, 0.923, 0.549], [0.604, 0.702, 0.768], [0.604, 0.232, 0.298], [0.104, 0.298, 0.232], [0.637, 0.302, 0.698], [0.292, 0.955, 0.045], [0.793, 0.451, 0.077], [0.293, 0.549, 0.923], [0.431, 0.281, 0.011], [0.322, 0.447, 0.553], [0.931, 0.719, 0.989], [0.431, 0.989, 0.719], [0.931, 0.011, 0.281], [0.822, 0.553, 0.447], [0.080, 0.203, 0.797], [0.580, 0.797, 0.203]]}

***

15.
{"formula": "Ca2CoCu", "functional": "PBE", "state": "relaxed", "de_polymorph_kj_per_mol_fu": 57, "space_group": "P4mm, No. 99", "n_ef_per_ev_fu": 4.83, "crystal_system": "tetragonal", "formation_enthalpy_0k_ev_per_atom": 0.227, "cell": [[3.366, 0.000, 0.000], [0.000, 3.366, 0.000], [0.000, 0.000, 7.999]], "species": ["Cu", "Ca", "Ca", "Co"], "frac_coords": [[0.500, 0.500, 0.677], [0.500, 0.500, 0.332], [0.000, 0.000, 0.917], [0.000, 0.000, 0.574]]}

***

16.
{"formula": "CuSiAsSe2", "functional": "PBE", "state": "relaxed", "de_polymorph_kj_per_mol_fu": 45, "space_group": "P4/mmm, No. 123", "n_ef_per_ev_fu": 4.01, "e_form_raw_mev_per_atom": 687, "crystal_system": "tetragonal", "cell": [[-0.070, 4.857, 0.386], [-4.332, 0.115, -2.228], [-2.077, -0.349, 4.020]], "species": ["As", "Si", "Se", "Se", "Cu"], "frac_coords": [[0.000, 0.000, 0.500], [0.500, 0.500, 0.500], [0.500, 0.000, 0.000], [0.000, 0.500, 0.000], [0.000, 0.000, 0.000]]}

***

17.
{"formula": "ZnBi3H", "functional": "PBE", "state": "relaxed", "de_polymorph_kj_per_mol_fu": 234, "space_group": "Pm-3m, No. 221", "n_ef_per_ev_fu": 3.58, "crystal_system": "cubic", "cell": [[5.450, 0.000, 0.000], [0.000, 5.450, 0.000], [0.000, 0.000, 5.450]], "species": ["Bi", "Bi", "Bi", "Zn", "H"], "frac_coords": [[0.500, 0.000, 0.000], [0.000, 0.000, 0.500], [0.000, 0.500, 0.000], [0.000, 0.000, 0.000], [0.500, 0.500, 0.500]]}

***

18.
{"formula": "HfTi2Fe", "functional": "PBE", "state": "relaxed", "de_polymorph_kj_per_mol_fu": 96, "space_group": "Fm-3m, No. 225", "n_ef_per_ev_fu": 6.67, "crystal_system": "cubic", "formation_enthalpy_0k_ev_per_atom": 0.118, "cell": [[0.000, 3.168, 3.168], [3.168, 0.000, 3.168], [3.168, 3.168, 0.000]], "species": ["Ti", "Ti", "Fe", "Hf"], "frac_coords": [[0.250, 0.250, 0.250], [0.750, 0.750, 0.750], [0.000, 0.000, 0.000], [0.500, 0.500, 0.500]]}

***

19.
{"formula": "Be3Ir4", "functional": "PBE", "state": "relaxed", "de_polymorph_kj_per_mol_fu": 253, "space_group": "P6/mmm, No. 191", "n_ef_per_ev_fu": 6.69, "crystal_system": "hexagonal", "formation_enthalpy_0k_ev_per_atom": 0.001, "cell": [[-3.062, 2.344, 2.145], [-1.066, -2.166, -3.694], [-1.206, -4.086, 2.744]], "species": ["Be", "Be", "Be", "Ir", "Ir", "Ir", "Ir"], "frac_coords": [[0.500, 0.500, 0.000], [0.500, 0.000, 0.000], [0.000, 0.500, 0.000], [0.667, 0.333, 0.500], [0.333, 0.667, 0.500], [0.000, 0.000, 0.748], [0.000, 0.000, 0.252]]}

***

20.
{"formula": "MoHIrW2", "functional": "PBE", "state": "relaxed", "de_polymorph_kj_per_mol_fu": 0, "space_group": "P4/mmm, No. 123", "n_ef_per_ev_fu": 3.80, "crystal_system": "tetragonal", "cell": [[-2.923, 1.944, -1.961], [1.277, -1.580, -3.470], [-2.427, -3.118, 0.526]], "species": ["W", "W", "Ir", "H", "Mo"], "frac_coords": [[0.500, 0.000, 0.000], [0.000, 0.500, 0.000], [0.500, 0.500, 0.500], [0.000, 0.000, 0.000], [0.000, 0.000, 0.500]]}